DFT (PBE with a Hubbard U) results for a relaxed TiFeP2O crystal.

* space-group type: P4/mmm
* M_tot: 0.779 μB per atom
* energy above the most stable polymorph in this dataset: 0.00 kcal/mol of atoms

POSCAR file:
```
TiFeP2O
1.0
4.877 0.000 0.000
0.000 4.877 0.000
0.000 0.000 3.660
Ti Fe P O
1 1 2 1
direct
0.000 0.000 0.000
0.500 0.500 0.500
0.000 0.500 0.000
0.500 0.000 0.000
0.000 0.000 0.500
```